{
  "formula": "Sm4CuTe",
  "functional": "PBE",
  "state": "optimized geometry",
  "cell": [[7.1983, 0.0000, 0.0000], [0.0000, 7.3227, 0.0000], [-0.0177, 0.0000, 7.2341]],
  "species": ["Sm", "Sm", "Sm", "Sm", "Sm", "Sm", "Sm", "Sm", "Cu", "Cu", "Te", "Te"],
  "frac_coords": [[0.1366, 0.1626, 0.1694], [0.1366, 0.3374, 0.6694], [0.3390, 0.6378, 0.1360], [0.3390, 0.8622, 0.6360], [0.6610, 0.1378, 0.3640], [0.6610, 0.3622, 0.8640], [0.8634, 0.6626, 0.3306], [0.8634, 0.8374, 0.8306], [0.0000, 0.0000, 0.5000], [0.0000, 0.5000, 0.0000], [0.5000, 0.0000, 0.0000], [0.5000, 0.5000, 0.5000]],
  "n_ef_per_ev_cell": 15.64,
  "total_energy_ev_per_atom": -4.6709
}

{
  "formula": "Sn3MoPd",
  "functional": "PBE",
  "state": "optimized geometry",
  "cell": [[5.1675, 0.0000, 0.0000], [0.0000, 5.1675, 0.0000], [0.0000, 0.0000, 5.1675]],
  "species": ["Sn", "Sn", "Sn", "Mo", "Pd"],
  "frac_coords": [[0.0000, 0.0000, 0.5000], [0.0000, 0.5000, 0.0000], [0.5000, 0.0000, 0.0000], [0.5000, 0.5000, 0.5000], [0.0000, 0.0000, 0.0000]],
  "e_form_mev_per_atom": 798,
  "polymorph_energy_mev_per_atom": 258,
  "n_ef_per_ev_cell": 2.52
}

{
  "formula": "GaAg",
  "functional": "PBE",
  "state": "optimized geometry",
  "cell": [[7.2415, 0.0000, 0.0000], [-3.6207, 6.2713, 0.0000], [0.0000, 0.0000, 5.1261]],
  "species": ["Ga", "Ga", "Ga", "Ga", "Ga", "Ga", "Ag", "Ag", "Ag", "Ag", "Ag", "Ag"],
  "frac_coords": [[0.0389, 0.2412, 0.2500], [0.2023, 0.9611, 0.2500], [0.2412, 0.2023, 0.7500], [0.7588, 0.7977, 0.2500], [0.7977, 0.0389, 0.7500], [0.9611, 0.7588, 0.7500], [0.0751, 0.4620, 0.7500], [0.3869, 0.9249, 0.7500], [0.4620, 0.3869, 0.2500], [0.5380, 0.6131, 0.7500], [0.6131, 0.0751, 0.2500], [0.9249, 0.5380, 0.2500]],
  "e_form_mev_per_atom": 53,
  "n_ef_per_ev_cell": 3.36
}